(1)
First-principles (PBE-GGA) data for a geometry-optimized Li2MgPt structure, as listed in Alexandria.

Results
* raw total energy: -27.2 eV per cell

abc: 4.431 4.431 6.309
angles: 90.00 90.00 90.00
Space group I-4m2 (No. 119)
Inequivalent atoms, fractional coordinates:
Li: 0.000 0.000 0.000 x2
Li: 0.000 0.500 0.250 x2
Mg: 0.000 0.000 0.500 x2
Pt: 0.000 0.500 0.750 x2

***

(2)
First-principles (PBE-GGA) data for a geometry-optimized LiMgPt structure, as listed in Alexandria.

Results
* relative energy among the computed polymorphs: 0.7 kJ per mole of atoms

abc: 4.4360 4.4360 5.4904
angles: 90.00 90.00 120.00
Space group P3m1 (No. 156)
Inequivalent atoms, fractional coordinates:
Li: 0.0000 0.0000 0.0000 x1
Li: 0.3333 0.6667 0.1648 x1
Mg: 0.3333 0.6667 0.6804 x1
Mg: 0.6667 0.3333 0.3447 x1
Pt: 0.0000 0.0000 0.5054 x1
Pt: 0.6667 0.3333 0.8526 x1

***

(3)
First-principles (PBE-GGA) data for a geometry-optimized LiMg3Pt2 structure, as listed in Alexandria.

Results
* relative energy among the computed polymorphs: 13.3 kJ per mole of atoms

abc: 6.111 12.416 6.502
angles: 90.00 90.00 90.00
Space group Ibam (No. 72)
Inequivalent atoms, fractional coordinates:
Li: 0.000 0.000 0.000 x4
Mg: 0.000 0.222 0.250 x8
Mg: 0.000 0.500 0.250 x4
Pt: 0.201 0.361 0.000 x8

***

Per-record total magnetic moment, μB/atom: 0.00, 0.00, 0.00